(1)
FeSi2Ru: optimized geometry, PBE.

abc: 2.8652 2.8652 5.6896
angles: 90.00 90.00 90.00
With the nearest neighbours (Å) after each atom.
Element x y z (fractional)
Fe (0.0000, 0.0000, 0.0000)  8 Si 2.43
Si (0.5000, 0.5000, 0.2366)  4 Fe 2.43, 4 Ru 2.52, 1 Si 2.69
Si (0.5000, 0.5000, 0.7634)  4 Fe 2.43, 4 Ru 2.52, 1 Si 2.69
Ru (0.0000, 0.0000, 0.5000)  8 Si 2.52

Uncorrected formation energy: -2.1 eV per formula unit


(2)
SnPb4Au: optimized geometry, PBE.

abc: 3.6105 3.6105 13.1361
angles: 90.00 90.00 92.31
With the nearest neighbours (Å) after each atom.
Element x y z (fractional)
Sn (0.0000, 0.0000, 0.0000)  8 Pb 3.39-3.46, 4 Sn 3.61
Pb (0.0000, 0.0000, 0.3646)  4 Au 3.07-3.15
Pb (0.0000, 0.0000, 0.6354)  4 Au 3.07-3.15
Pb (0.5000, 0.5000, 0.1737)  4 Sn 3.39-3.46, 8 Pb 3.54-3.62
Pb (0.5000, 0.5000, 0.8263)  4 Sn 3.39-3.46, 8 Pb 3.54-3.62
Au (0.5000, 0.5000, 0.5000)  8 Pb 3.07-3.15

Formation enthalpy at 0 K: -3 meV/atom
Offset from the most stable computed form: 0.0 meV/atom


(3)
Li8Mg: optimized geometry, PBE.

abc: 6.7786 6.7786 6.7786
angles: 96.04 96.04 142.14
With the nearest neighbours (Å) after each atom.
Element x y z (fractional)
Li (0.0000, 0.3347, 0.3347)  11 Li 3.00-3.07, 1 Mg 3.03
Li (0.0000, 0.6653, 0.6653)  11 Li 3.00-3.07, 1 Mg 3.03
Li (0.3328, 0.3328, 0.6656)  10 Li 3.02-3.07, 2 Mg 3.07
Li (0.3328, 0.6672, 0.0000)  10 Li 3.02-3.07, 2 Mg 3.07
Li (0.3347, 0.0000, 0.3347)  11 Li 3.00-3.07, 1 Mg 3.03
Li (0.6653, 0.0000, 0.6653)  11 Li 3.00-3.07, 1 Mg 3.03
Li (0.6672, 0.3328, 0.0000)  10 Li 3.02-3.07, 2 Mg 3.07
Li (0.6672, 0.6672, 0.3344)  10 Li 3.02-3.07, 2 Mg 3.07
Mg (0.0000, 0.0000, 0.0000)  12 Li 3.03-3.07

Formation enthalpy at 0 K: -9 meV/atom
Offset from the most stable computed form: 0.0 meV/atom


(4)
RbGaW3: optimized geometry, PBE.

abc: 4.7370 4.7370 4.7370
angles: 90.00 90.00 90.00
With the nearest neighbours (Å) after each atom.
Element x y z (fractional)
Rb (0.0000, 0.0000, 0.0000)  6 W 2.37
Ga (0.5000, 0.5000, 0.5000)  12 W 3.35
W (0.0000, 0.0000, 0.5000)  2 Rb 2.37
W (0.0000, 0.5000, 0.0000)  2 Rb 2.37
W (0.5000, 0.0000, 0.0000)  2 Rb 2.37

Formation enthalpy at 0 K: 3909 meV/atom
Offset from the most stable computed form: 1446.4 meV/atom


(5)
Pr12Tl6Rh: optimized geometry, PBE.

abc: 8.6399 8.6399 8.6399
angles: 94.02 94.02 94.02
With the nearest neighbours (Å) after each atom.
Element x y z (fractional)
Pr (0.0284, 0.6828, 0.9135)  1 Rh 2.82
Pr (0.0865, 0.9716, 0.3172)  1 Rh 2.82
Pr (0.1987, 0.5438, 0.4267)  4 Tl 3.25-3.38
Pr (0.3172, 0.0865, 0.9716)  1 Rh 2.82
Pr (0.4267, 0.1987, 0.5438)  4 Tl 3.25-3.38
Pr (0.4562, 0.5733, 0.8013)  4 Tl 3.25-3.38
Pr (0.5438, 0.4267, 0.1987)  4 Tl 3.25-3.38
Pr (0.5733, 0.8013, 0.4562)  4 Tl 3.25-3.38
Pr (0.6828, 0.9135, 0.0284)  1 Rh 2.82
Pr (0.8013, 0.4562, 0.5733)  4 Tl 3.25-3.38
Pr (0.9135, 0.0284, 0.6828)  1 Rh 2.82
Pr (0.9716, 0.3172, 0.0865)  1 Rh 2.82
Tl (0.1403, 0.3452, 0.7332)  8 Pr 3.24-3.50
Tl (0.2668, 0.8597, 0.6548)  8 Pr 3.24-3.50
Tl (0.3452, 0.7332, 0.1403)  8 Pr 3.24-3.50
Tl (0.6548, 0.2668, 0.8597)  8 Pr 3.24-3.50
Tl (0.7332, 0.1403, 0.3452)  8 Pr 3.24-3.50
Tl (0.8597, 0.6548, 0.2668)  8 Pr 3.24-3.50
Rh (0.0000, 0.0000, 0.0000)  6 Pr 2.82

Formation enthalpy at 0 K: -212 meV/atom


(6)
Tb3DyHo3Se8: optimized geometry, PBE.

abc: 8.1257 8.1257 8.1257
angles: 59.96 59.96 59.96
With the nearest neighbours (Å) after each atom.
Element x y z (fractional)
Tb (0.0000, 0.5000, 0.5000)  6 Se 2.89
Tb (0.5000, 0.0000, 0.5000)  6 Se 2.89
Tb (0.5000, 0.5000, 0.0000)  6 Se 2.89
Dy (0.5000, 0.5000, 0.5000)  6 Se 2.91
Ho (0.0000, 0.0000, 0.5000)  6 Se 2.86
Ho (0.0000, 0.5000, 0.0000)  6 Se 2.86
Ho (0.5000, 0.0000, 0.0000)  6 Se 2.86
Se (0.2438, 0.7535, 0.7535)  2 Ho 2.86, 2 Tb 2.89, 1 Dy 2.91
Se (0.2465, 0.2465, 0.7562)  2 Ho 2.86, 2 Tb 2.89, 1 Dy 2.91
Se (0.2465, 0.7562, 0.2465)  2 Ho 2.86, 2 Tb 2.89, 1 Dy 2.91
Se (0.2489, 0.2489, 0.2489)  3 Ho 2.86, 3 Tb 2.89
Se (0.7511, 0.7511, 0.7511)  3 Ho 2.86, 3 Tb 2.89
Se (0.7535, 0.2438, 0.7535)  2 Ho 2.86, 2 Tb 2.89, 1 Dy 2.91
Se (0.7535, 0.7535, 0.2438)  2 Ho 2.86, 2 Tb 2.89, 1 Dy 2.91
Se (0.7562, 0.2465, 0.2465)  2 Ho 2.86, 2 Tb 2.89, 1 Dy 2.91

Uncorrected formation energy: -27.5 eV per formula unit


Number 1: energy -30.71 eV for the cell shown, calculated density 7.6 g cm⁻³, DOS(E_F) 1.178 states/eV per cell. Number 2: energy -22.13 eV for the cell shown, calculated density 11.1 g cm⁻³, DOS(E_F) 2.934 states/eV per cell. Number 3: energy -16.99 eV for the cell shown, calculated density 0.7 g cm⁻³, DOS(E_F) 3.581 states/eV per cell. Number 4: energy -23.31 eV for the cell shown, calculated density 11.0 g cm⁻³, DOS(E_F) 6.932 states/eV per cell. Number 5: energy -82.93 eV for the cell shown, calculated density 7.8 g cm⁻³, DOS(E_F) 21.510 states/eV per cell. Number 6: energy -87.60 eV for the cell shown, calculated density 7.7 g cm⁻³, DOS(E_F) 6.135 states/eV per cell.